Version i
# CePmPr2 PBE relaxed
# V (Å³ per atom): 34.91
# N(E_F) (states/eV per atom): 2.808
data_CePmPr2
_chemical_formula_sum 'Ce4 Pm4 Pr8'
_symmetry_space_group_name_H-M 'F m -3 m'
_symmetry_Int_Tables_number 225
_symmetry_space_group_name_Hall '-F 4 2 3'
_cell_length_a 8.2353
_cell_length_b 8.2353
_cell_length_c 8.2353
_cell_angle_alpha 90.00
_cell_angle_beta 90.00
_cell_angle_gamma 90.00
loop_
_atom_site_label
_atom_site_type_symbol
_atom_site_fract_x
_atom_site_fract_y
_atom_site_fract_z
Ce1 Ce 0.0000 0.0000 0.0000
Pm1 Pm 0.0000 0.0000 0.5000
Pr1 Pr 0.2500 0.2500 0.2500



Version ii
# CePmPr2 PBE relaxed
# V (Å³ per atom): 34.02
# N(E_F) (states/eV per atom): 2.114
data_CePmPr2
_chemical_formula_sum 'Ce3 Pm3 Pr6'
_symmetry_space_group_name_H-M 'R 3 m'
_symmetry_Int_Tables_number 160
_symmetry_space_group_name_Hall 'R 3 -2"'
_cell_length_a 3.6420
_cell_length_b 3.6420
_cell_length_c 35.5355
_cell_angle_alpha 90.00
_cell_angle_beta 90.00
_cell_angle_gamma 120.00
loop_
_atom_site_label
_atom_site_type_symbol
_atom_site_fract_x
_atom_site_fract_y
_atom_site_fract_z
Ce1 Ce 0.0000 0.0000 0.0000
Pm1 Pm 0.0000 0.0000 0.8329
Pr1 Pr 0.0000 0.0000 0.4141
Pr2 Pr 0.0000 0.0000 0.5853



Taking the most stable structure as the zero point, the relative energies in eV/atom are version i 0.136; version ii 0.000.